CsSrTeSe2: relaxed, PBE.

Lattice parameters (Å, degrees): 8.3448 5.0225 9.3009 90.00 96.59 90.00
Space group P2/c (No. 13)
Asymmetric unit:
Cs1 0.0000 0.1065 0.2500
Sr1 0.5000 0.4932 0.7500
Te1 0.5000 0.0000 0.0000
Se1 0.2559 0.3903 0.9773

Calculated values
Volume = 38.72 A^3/atom
Energy relative to the elements, uncorrected = -1.116 eV/atom
Uncorrected energy = -36.45 eV for the cell shown